Compound: NiI2O2
Source: Alexandria
Functional: PBE+U
Structure: optimized geometry

Cell lengths 4.222, 4.222, 5.873 Å; angles 90.00, 90.00, 90.00 degrees
Last column: magnetic moment on the atom in μB.
Atoms (fractional coordinates):
I: 0.500 0.500 0.500  0.06
I: 0.000 0.000 0.500  0.04
Ni: 0.000 0.000 0.000  1.80
O: 0.000 0.500 0.000  0.76
O: 0.500 0.000 0.000  0.76

Results
DOS(E_F)	2.17	states/eV/f.u.
energy above the most stable polymorph in this dataset	1.28	eV/f.u.
SG	P4/mmm